# 1
PBE-GGA YCu2Cl, optimized geometry; uncorrected energy = -4.40 eV/atom; DOS(E_F) = 0.469 states/eV per cell; symmetry = No. 65; uncorrected formation energy = -26.8 kJ/mol of atoms; density = 5.0 g/cm³
1.0
2.566 -4.336 0.000
2.566 4.336 0.000
0.000 0.000 3.745
Y Cu Cl
1 2 1
Cartesian
0.000 0.000 0.000
1.283 2.168 1.873
1.283 -2.168 1.873
2.566 0.000 0.000

=====

# 2
PBE-GGA YCu4Cl, optimized geometry; uncorrected energy = -4.21 eV/atom; DOS(E_F) = 1.816 states/eV per cell; symmetry = No. 216; uncorrected formation energy = -9.5 kJ/mol of atoms; density = 6.4 g/cm³
1.0
0.000 3.654 3.654
3.654 0.000 3.654
3.654 3.654 0.000
Y Cu Cl
1 4 1
Cartesian
0.000 0.000 0.000
4.564 2.743 2.743
2.743 4.564 2.743
2.743 2.743 4.564
4.564 4.564 4.564
1.827 1.827 1.827

=====

# 3
PBE-GGA YCu3Cl9, optimized geometry; uncorrected energy = -3.68 eV/atom; DOS(E_F) = 14.186 states/eV per cell; symmetry = No. 9; uncorrected formation energy = -93.0 kJ/mol of atoms; density = 2.7 g/cm³
1.0
9.381 -3.745 0.000
9.381 3.745 0.000
-7.882 0.000 10.667
Y Cu Cl
2 6 18
Cartesian
5.440 1.921 5.334
9.381 -1.921 0.000
-1.284 0.323 8.161
2.657 -0.323 2.827
9.484 0.771 3.542
14.765 1.026 1.710
5.543 -0.771 8.876
10.824 -1.026 7.044
-3.234 0.828 9.118
3.713 2.854 7.130
-2.209 0.078 6.112
1.732 -0.078 0.778
0.729 0.596 7.248
0.707 -0.828 3.784
3.569 0.009 4.845
-0.372 -0.009 10.178
7.237 0.976 3.598
4.669 -0.596 1.915
6.476 0.123 6.978
6.302 0.837 10.226
10.416 -0.123 1.644
3.297 -0.976 8.932
9.959 0.328 8.700
10.243 -0.837 4.892
7.653 -2.854 1.796
13.900 -0.328 3.367

=====

# 4
PBE-GGA YCu2Cl, optimized geometry; uncorrected energy = -4.45 eV/atom; DOS(E_F) = 2.002 states/eV per cell; symmetry = No. 47; uncorrected formation energy = -31.6 kJ/mol of atoms; density = 5.6 g/cm³
1.0
3.773 0.000 0.000
0.000 3.798 0.000
0.000 0.000 5.188
Y Cu Cl
1 2 1
Cartesian
0.000 0.000 0.000
0.000 1.899 2.594
1.886 0.000 2.594
1.886 1.899 0.000

=====

# 5
PBE-GGA YCu2Cl, optimized geometry; uncorrected energy = -4.08 eV/atom; DOS(E_F) = 0.491 states/eV per cell; symmetry = No. 225; uncorrected formation energy = 4.4 kJ/mol of atoms; density = 5.3 g/cm³
1.0
0.000 3.402 3.402
3.402 0.000 3.402
3.402 3.402 0.000
Y Cu Cl
1 2 1
Cartesian
0.000 0.000 0.000
1.701 1.701 1.701
5.103 5.103 5.103
3.402 3.402 3.402

=====

# 6
PBE-GGA YCuCl2, optimized geometry; uncorrected energy = -4.28 eV/atom; symmetry = No. 216; uncorrected formation energy = -69.5 kJ/mol of atoms; density = 4.5 g/cm³
1.0
0.000 3.459 3.459
3.459 0.000 3.459
3.459 3.459 0.000
Y Cu Cl
1 1 2
Cartesian
0.000 0.000 0.000
5.189 5.189 5.189
1.730 1.730 1.730
3.459 3.459 3.459

=====

# 7
PBE-GGA YCuCl, optimized geometry; uncorrected energy = -4.56 eV/atom; DOS(E_F) = 3.109 states/eV per cell; symmetry = No. 216; uncorrected formation energy = -41.0 kJ/mol of atoms; density = 4.3 g/cm³
1.0
0.000 3.314 3.314
3.314 0.000 3.314
3.314 3.314 0.000
Y Cu Cl
1 1 1
Cartesian
0.000 0.000 0.000
1.657 1.657 1.657
4.970 4.970 4.970

=====

# 8
PBE-GGA YCu2Cl, optimized geometry; uncorrected energy = -4.47 eV/atom; DOS(E_F) = 2.361 states/eV per cell; symmetry = No. 139; uncorrected formation energy = -33.3 kJ/mol of atoms; density = 5.6 g/cm³
1.0
-1.883 1.883 5.221
1.883 -1.883 5.221
1.883 1.883 -5.221
Y Cu Cl
1 2 1
Cartesian
0.000 0.000 0.000
1.883 0.000 2.610
0.000 1.883 2.610
0.000 0.000 5.221

=====

# 9
PBE-GGA YCu2Cl, optimized geometry; uncorrected energy = -4.58 eV/atom; DOS(E_F) = 2.411 states/eV per cell; symmetry = No. 99; uncorrected formation energy = -43.4 kJ/mol of atoms; density = 4.7 g/cm³
1.0
3.340 0.000 0.000
0.000 3.340 0.000
0.000 0.000 7.886
Y Cu Cl
1 2 1
Cartesian
0.000 0.000 0.000
0.000 0.000 5.145
1.670 1.670 5.955
1.670 1.670 1.631

=====

# 10
PBE-GGA YCuCl, optimized geometry; uncorrected energy = -4.46 eV/atom; DOS(E_F) = 2.510 states/eV per cell; symmetry = No. 216; uncorrected formation energy = -31.1 kJ/mol of atoms; density = 4.7 g/cm³
1.0
0.000 3.223 3.223
3.223 0.000 3.223
3.223 3.223 0.000
Y Cu Cl
1 1 1
Cartesian
0.000 0.000 0.000
3.223 3.223 3.223
1.612 1.612 1.612

=====

# 11
PBE-GGA YCuCl2, optimized geometry; uncorrected energy = -4.67 eV/atom; symmetry = No. 6; uncorrected formation energy = -106.8 kJ/mol of atoms; density = 3.4 g/cm³
1.0
3.800 0.000 0.000
0.000 3.600 0.000
-1.386 0.000 7.860
Y Cu Cl
1 1 2
Cartesian
0.000 0.000 0.000
1.833 1.800 1.424
0.487 0.000 2.613
2.418 1.800 5.922

=====

# 12
PBE-GGA YCuCl2, optimized geometry; uncorrected energy = -4.12 eV/atom; DOS(E_F) = 3.478 states/eV per cell; symmetry = No. 122; uncorrected formation energy = -53.7 kJ/mol of atoms; density = 3.7 g/cm³
1.0
-3.043 3.043 5.439
3.043 -3.043 5.439
3.043 3.043 -5.439
Y Cu Cl
2 2 4
Cartesian
0.000 0.000 0.000
0.000 3.043 2.719
3.043 0.000 2.719
0.000 0.000 5.439
1.522 -1.145 4.079
1.899 1.522 1.360
1.522 4.188 -1.360
1.145 1.522 6.798

=====

# 13
PBE-GGA YCuCl, optimized geometry; uncorrected energy = -4.67 eV/atom; DOS(E_F) = 1.551 states/eV per cell; symmetry = No. 156; uncorrected formation energy = -51.6 kJ/mol of atoms; density = 4.6 g/cm³
1.0
4.657 0.000 0.000
-2.328 4.033 0.000
0.000 0.000 3.584
Y Cu Cl
1 1 1
Cartesian
0.000 0.000 0.000
0.000 2.689 1.793
2.328 1.344 0.007

=====

# 14
PBE-GGA YCuCl, optimized geometry; uncorrected energy = -5.26 eV/atom; DOS(E_F) = 3.597 states/eV per cell; symmetry = No. 8; uncorrected formation energy = -108.2 kJ/mol of atoms; density = 4.2 g/cm³
1.0
3.469 -2.020 0.000
3.469 2.020 0.000
-2.299 0.000 10.639
Y Cu Cl
2 2 2
Cartesian
0.000 0.000 0.000
-0.010 0.000 3.829
2.299 0.000 1.916
4.620 0.000 1.915
2.325 0.000 8.976
4.616 0.000 5.491

=====

# 15
PBE-GGA YCu2Cl, optimized geometry; uncorrected energy = -4.67 eV/atom; DOS(E_F) = 1.811 states/eV per cell; symmetry = No. 8; uncorrected formation energy = -52.9 kJ/mol of atoms; density = 4.5 g/cm³
1.0
3.519 -2.028 0.000
3.519 2.028 0.000
-0.040 0.000 6.533
Y Cu Cl
1 2 1
Cartesian
0.000 0.000 0.000
2.344 0.000 1.611
4.688 0.000 1.937
4.655 0.000 4.882

=====

# 16
PBE-GGA YCuCl2, optimized geometry; uncorrected energy = -4.42 eV/atom; DOS(E_F) = 0.838 states/eV per cell; symmetry = No. 139; uncorrected formation energy = -82.6 kJ/mol of atoms; density = 4.7 g/cm³
1.0
-2.224 2.224 3.983
2.224 -2.224 3.983
2.224 2.224 -3.983
Y Cu Cl
1 1 2
Cartesian
0.000 0.000 0.000
0.000 0.000 3.983
2.224 0.000 1.992
0.000 2.224 1.992

=====

# 17
PBE-GGA Y4CuCl5, optimized geometry; uncorrected energy = -5.45 eV/atom; DOS(E_F) = 3.602 states/eV per cell; symmetry = No. 12; uncorrected formation energy = -147.7 kJ/mol of atoms; density = 3.6 g/cm³
1.0
8.833 -1.929 0.000
8.833 1.929 0.000
-1.861 0.000 7.998
Y Cu Cl
4 1 5
Cartesian
-0.411 0.000 1.863
4.405 0.000 7.319
11.400 0.000 0.679
16.216 0.000 6.135
8.833 0.000 0.000
2.345 0.000 2.637
1.531 0.000 6.777
7.903 0.000 3.999
14.274 0.000 1.221
13.460 0.000 5.361

=====

# 18
PBE-GGA YCuCl, optimized geometry; uncorrected energy = -5.00 eV/atom; DOS(E_F) = 2.750 states/eV per cell; symmetry = No. 8; uncorrected formation energy = -83.1 kJ/mol of atoms; density = 4.2 g/cm³
1.0
5.100 -1.989 0.000
5.100 1.989 0.000
-2.978 0.000 7.293
Y Cu Cl
2 2 2
Cartesian
0.000 0.000 0.000
4.500 0.000 4.639
1.404 0.000 5.274
7.525 0.000 4.514
4.401 0.000 1.891
7.252 0.000 0.153

=====

# 19
PBE-GGA YCuCl2, optimized geometry; uncorrected energy = -4.63 eV/atom; DOS(E_F) = 0.048 states/eV per cell; symmetry = No. 12; uncorrected formation energy = -102.9 kJ/mol of atoms; density = 3.1 g/cm³
1.0
7.247 -1.802 0.000
7.247 1.802 0.000
-1.621 0.000 4.611
Y Cu Cl
1 1 2
Cartesian
0.000 0.000 0.000
6.436 0.000 2.305
3.768 0.000 3.956
9.105 0.000 0.654

=====

# 20
PBE-GGA YCuCl2, optimized geometry; uncorrected energy = -4.51 eV/atom; DOS(E_F) = 1.059 states/eV per cell; symmetry = No. 44; uncorrected formation energy = -91.5 kJ/mol of atoms; density = 3.3 g/cm³
1.0
-1.729 2.429 6.670
1.729 -2.429 6.670
1.729 2.429 -6.670
Y Cu Cl
1 1 2
Cartesian
0.000 0.000 0.000
0.000 2.429 4.433
1.729 0.000 2.077
0.000 0.000 6.484